Entry 1:
The following is a DFT calculation (GGA-PBE) of a relaxed structure of Cs2NaTeI.

Cell lengths 7.386, 7.386, 5.754 Å; angles 90.00, 90.00, 90.00 degrees
Atoms (fractional coordinates):
Cs (0.000, 0.500, 0.000)
Cs (0.500, 0.000, 0.000)
Na (0.000, 0.000, 0.500)
Te (0.000, 0.000, 0.000)
I (0.500, 0.500, 0.500)


Entry 2:
The following is a DFT calculation (GGA-PBE) of a relaxed structure of CsNaThI6.

Cell lengths 8.263, 8.263, 17.012 Å; angles 90.00, 90.00, 120.00 degrees
Atoms (fractional coordinates):
I (0.621, 0.638, 0.644)
I (0.016, 0.638, 0.856)
I (0.362, 0.379, 0.856)
I (0.621, 0.984, 0.856)
I (0.379, 0.362, 0.356)
I (0.638, 0.016, 0.356)
I (0.379, 0.016, 0.144)
I (0.362, 0.984, 0.644)
I (0.638, 0.621, 0.144)
I (0.984, 0.621, 0.356)
I (0.984, 0.362, 0.144)
I (0.016, 0.379, 0.644)
Th (0.333, 0.667, 0.750)
Th (0.667, 0.333, 0.250)
Na (0.333, 0.667, 0.250)
Na (0.667, 0.333, 0.750)
Cs (0.000, 0.000, 0.000)
Cs (0.000, 0.000, 0.500)


Entry 3:
The following is a DFT calculation (GGA-PBE) of a relaxed structure of CsNaTiI6.

Cell lengths 7.961, 7.961, 8.296 Å; angles 90.00, 90.00, 59.99 degrees
Atoms (fractional coordinates):
I (0.041, 0.607, 0.695)
I (0.606, 0.352, 0.695)
I (0.352, 0.041, 0.695)
I (0.352, 0.606, 0.305)
I (0.041, 0.352, 0.305)
I (0.607, 0.041, 0.305)
Ti (0.333, 0.333, 0.500)
Na (0.667, 0.667, 0.500)
Cs (0.000, 0.000, 0.000)


Entry 4:
The following is a DFT calculation (GGA-PBE) of a relaxed structure of CsNa2Tl3I6.

Cell lengths 4.987, 10.074, 11.093 Å; angles 102.02, 102.99, 90.00 degrees
Atoms (fractional coordinates):
I (0.980, 0.722, 0.959)
I (0.673, 0.579, 0.346)
I (0.678, 0.110, 0.356)
I (0.327, 0.421, 0.654)
I (0.020, 0.278, 0.041)
I (0.322, 0.890, 0.644)
Tl (0.165, 0.826, 0.330)
Tl (0.835, 0.174, 0.670)
Tl (0.500, 0.500, 0.000)
Cs (0.500, 0.000, 0.000)
Na (0.174, 0.341, 0.348)
Na (0.826, 0.659, 0.652)


no.,energy (eV per atom),formation energy (no corrections) (meV/atom)
1,-2.598,-1054
2,-3.428,-1329
3,-3.142,-990
4,-2.640,-982